Version i
Here is crystalline V3PS at its relaxed geometry from Alexandria. Energies are from PBE-GGA.

Structure (POSCAR):
```
V3PS
1.0
-0.517 -1.637 -2.772
-3.356 -4.371 3.208
-5.782 4.510 0.331
S V P
2 6 2
Cartesian
-3.328 -2.829 0.374 S
-6.328 1.331 0.393 S
-5.561 -3.027 0.907 V
-6.547 1.832 -1.780 V
-3.108 -3.330 2.547 V
-4.094 1.529 -0.140 V
-3.683 -0.681 1.089 V
-5.972 -0.817 -0.321 V
-7.723 -2.118 0.773 P
-1.932 0.620 -0.006 P
```

## Properties
As for the theoretical density: 4.82 g/cm³.

Version ii
Here is crystalline V3PS at its relaxed geometry from Alexandria. Energies are from PBE-GGA.

Structure (POSCAR):
```
V3PS
1.0
4.235 0.000 0.000
0.000 4.235 0.000
0.000 0.000 4.235
V S P
3 1 1
Cartesian
0.000 0.000 2.118 V
0.000 2.118 0.000 V
2.118 0.000 0.000 V
0.000 0.000 0.000 S
2.118 2.118 2.118 P
```

## Properties
As for the theoretical density: 4.72 g/cm³.

Verdict on stability: version ii comes out at the bottom.

Version i
Here is crystalline YVP2S at its relaxed geometry from Alexandria. Energies are from PBE-GGA.

Structure (POSCAR):
```
YVP2S
1.0
-0.755 5.001 1.102
-4.472 -0.101 -2.605
-2.448 -1.307 4.252
P V Y S
2 1 1 1
Cartesian
-0.377 2.500 0.551 P
-2.236 -0.050 -1.303 P
-3.837 1.797 1.375 V
0.000 0.000 0.000 Y
-1.224 -0.653 2.126 S
```

## Properties
As for the theoretical density: 2.85 g/cm³.

Version ii
Here is crystalline YVP2S at its relaxed geometry from Alexandria. Energies are from PBE-GGA.

Structure (POSCAR):
```
YVP2S
1.0
4.468 0.000 0.000
0.000 4.468 0.000
0.000 0.000 4.856
V S P Y
1 1 2 1
Cartesian
0.000 0.000 0.000 V
0.000 0.000 2.428 S
0.000 2.234 0.000 P
2.234 0.000 0.000 P
2.234 2.234 2.428 Y
```

## Properties
As for the theoretical density: 4.01 g/cm³.

Verdict on stability: version i comes out at the bottom.

Version i
Here is crystalline YVPS2 at its relaxed geometry from Alexandria. Energies are from PBE-GGA.

Structure (POSCAR):
```
YVPS2
1.0
-0.888 3.877 -2.158
-4.433 -0.679 0.603
0.201 2.328 4.100
S P Y V
2 1 1 1
Cartesian
-0.444 1.938 -1.079 S
-2.216 -0.340 0.301 S
0.100 1.164 2.050 P
-2.560 2.763 1.272 Y
0.000 0.000 0.000 V
```

## Properties
As for the theoretical density: 4.04 g/cm³.

Version ii
Here is crystalline YVPS2 at its relaxed geometry from Alexandria. Energies are from PBE-GGA.

Structure (POSCAR):
```
YVPS2
1.0
-1.299 -4.771 1.428
2.262 -1.880 -4.223
4.522 -0.447 2.621
Y S V P
1 2 1 1
Cartesian
0.000 0.000 0.000 Y
1.131 -0.940 -2.112 S
-0.650 -2.385 0.714 S
2.742 -3.549 -0.087 V
2.261 -0.224 1.310 P
```

## Properties
As for the theoretical density: 2.81 g/cm³.

Verdict on stability: version ii comes out at the bottom.

Version i
Here is crystalline VZnPS2 at its relaxed geometry from Alexandria. Energies are from PBE-GGA.

Structure (POSCAR):
```
VZnPS2
1.0
-1.049 -3.954 -2.152
1.236 -2.378 3.766
-4.208 0.272 1.552
V S P Zn
1 2 1 1
Cartesian
-2.011 -3.030 1.583 V
-0.525 -1.977 -1.076 S
0.618 -1.189 1.883 S
-2.104 0.136 0.776 P
0.000 0.000 0.000 Zn
```

## Properties
As for the theoretical density: 3.66 g/cm³.

Version ii
Here is crystalline VZnPS2 at its relaxed geometry from Alexandria. Energies are from PBE-GGA.

Structure (POSCAR):
```
VZnPS2
1.0
4.495 0.000 0.000
0.000 4.495 0.000
0.000 0.000 4.751
V S P Zn
1 2 1 1
Cartesian
0.000 0.000 0.000 V
0.000 2.248 0.000 S
2.248 0.000 0.000 S
0.000 0.000 2.375 P
2.248 2.248 2.375 Zn
```

## Properties
As for the theoretical density: 3.66 g/cm³.

Verdict on stability: version i comes out at the bottom.

Version i
Here is crystalline ZrVP2S at its relaxed geometry from Alexandria. Energies are from PBE-GGA.

Structure (POSCAR):
```
ZrVP2S
1.0
-2.529 2.243 3.079
-3.806 -1.636 -1.934
0.147 -3.492 2.664
V S P Zr
1 1 2 1
Cartesian
0.000 0.000 0.000 V
0.073 -1.746 1.332 S
-1.264 1.121 1.539 P
-1.903 -0.818 -0.967 P
-3.094 -1.442 1.904 Zr
```

## Properties
As for the theoretical density: 4.27 g/cm³.

Version ii
Here is crystalline ZrVP2S at its relaxed geometry from Alexandria. Energies are from PBE-GGA.

Structure (POSCAR):
```
ZrVP2S
1.0
-2.709 -4.188 -0.214
0.666 -0.682 4.901
-4.025 2.557 0.903
P Zr S V
2 1 1 1
Cartesian
0.333 -0.341 2.450 P
-1.354 -2.094 -0.107 P
0.000 0.000 0.000 Zr
-2.013 1.279 0.451 S
-3.034 -1.156 2.795 V
```

## Properties
As for the theoretical density: 3.24 g/cm³.

Verdict on stability: version ii comes out at the bottom.

Version i
Here is crystalline ZrVPS2 at its relaxed geometry from Alexandria. Energies are from PBE-GGA.

Structure (POSCAR):
```
ZrVPS2
1.0
-0.631 -0.863 -4.760
3.316 -3.573 0.208
-3.674 -3.346 1.094
Zr S V P
1 2 1 1
Cartesian
0.000 0.000 0.000 Zr
1.658 -1.786 0.104 S
-0.316 -0.432 -2.380 S
-0.495 -3.891 -1.729 V
-1.837 -1.673 0.547 P
```

## Properties
As for the theoretical density: 3.25 g/cm³.

Version ii
Here is crystalline ZrVPS2 at its relaxed geometry from Alexandria. Energies are from PBE-GGA.

Structure (POSCAR):
```
ZrVPS2
1.0
-2.516 -3.474 1.166
3.244 -2.769 -1.252
1.791 0.149 4.310
S Zr V P
2 1 1 1
Cartesian
1.622 -1.385 -0.626 S
-1.258 -1.737 0.583 S
1.259 -3.047 2.112 Zr
0.000 0.000 0.000 V
0.895 0.075 2.155 P
```

## Properties
As for the theoretical density: 4.27 g/cm³.

Verdict on stability: version i comes out at the bottom.

Version i
Here is crystalline P2WS2 at its relaxed geometry from Alexandria. Energies are from PBE-GGA.

Structure (POSCAR):
```
P2WS2
1.0
-3.312 -0.828 -3.017
1.280 -4.368 -0.206
-3.151 -1.100 3.761
S W P
2 1 2
Cartesian
-1.656 -0.414 -1.508 S
0.640 -2.184 -0.103 S
0.000 0.000 0.000 W
-2.592 -3.148 0.269 P
-1.575 -0.550 1.881 P
```

## Properties
As for the theoretical density: 4.93 g/cm³.

Version ii
Here is crystalline P2WS2 at its relaxed geometry from Alexandria. Energies are from PBE-GGA.

Structure (POSCAR):
```
P2WS2
1.0
-2.883 3.578 -1.324
-3.672 -2.152 2.179
0.968 2.182 3.786
P S W
2 2 1
Cartesian
-1.836 -1.076 1.090 P
-1.441 1.789 -0.662 P
0.484 1.091 1.893 S
-2.793 1.804 2.321 S
0.000 0.000 0.000 W
```

## Properties
As for the theoretical density: 5.03 g/cm³.

Verdict on stability: version i comes out at the bottom.

Version i
Here is crystalline PWS3 at its relaxed geometry from Alexandria. Energies are from PBE-GGA.

Structure (POSCAR):
```
PWS3
1.0
-1.973 0.238 3.821
-1.322 -4.076 -0.429
3.593 -1.369 1.940
S W P
3 1 1
Cartesian
-0.986 0.119 1.910 S
-0.661 -2.038 -0.215 S
1.796 -0.685 0.970 S
0.149 -2.604 2.666 W
0.000 0.000 0.000 P
```

## Properties
As for the theoretical density: 6.46 g/cm³.

Version ii
Here is crystalline PWS3 at its relaxed geometry from Alexandria. Energies are from PBE-GGA.

Structure (POSCAR):
```
PWS3
1.0
-2.241 2.801 3.014
-3.513 0.484 -3.061
-2.141 -3.724 1.869
P S W
1 3 1
Cartesian
-3.948 -0.220 0.911 P
-1.071 -1.862 0.935 S
-1.120 1.401 1.507 S
-1.757 0.242 -1.531 S
0.000 0.000 0.000 W
```

## Properties
As for the theoretical density: 5.02 g/cm³.

Verdict on stability: version i comes out at the bottom.